1.
# YRePb2

An optimized crystal structure of YRePb2 (PBE, the Alexandria database).

For the total energy, the calculation gives -48.687 eV per cell. The calculation puts the offset from the most stable computed form at 160 meV/atom. As for the energy relative to the elements: 0.4964 eV per atom.

Structure (CIF):
```
data_YRePb2
_cell_length_a 4.4158
_cell_length_b 4.4158
_cell_length_c 9.7226
_cell_angle_alpha 90.00
_cell_angle_beta 90.00
_cell_angle_gamma 90.00
_space_group_name_H-M_alt 'I -4 m 2'
_space_group_IT_number 119
_space_group_name_Hall 'I -4 -2'
loop_
_atom_site_label
_atom_site_fract_x
_atom_site_fract_y
_atom_site_fract_z
Y1 0.0000 0.0000 0.0000
Re1 0.0000 0.5000 0.2500
Pb1 0.0000 0.0000 0.5000
Pb2 0.0000 0.5000 0.7500
```



2.
# YRePb2

An optimized crystal structure of YRePb2 (PBE, the Alexandria database).

For the total energy, the calculation gives -49.954 eV per cell. The calculation puts the offset from the most stable computed form at 1 meV/atom. As for the energy relative to the elements: 0.3380 eV per atom.

Structure (CIF):
```
data_YRePb2
_cell_length_a 3.5359
_cell_length_b 5.4971
_cell_length_c 9.9548
_cell_angle_alpha 90.00
_cell_angle_beta 90.00
_cell_angle_gamma 90.00
_space_group_name_H-M_alt 'I m m m'
_space_group_IT_number 71
_space_group_name_Hall '-I 2 2'
loop_
_atom_site_label
_atom_site_fract_x
_atom_site_fract_y
_atom_site_fract_z
Y1 0.0000 0.0000 0.0000
Re1 0.0000 0.0000 0.5000
Pb1 0.0000 0.5000 0.2223
```



3.
# YRePb2

An optimized crystal structure of YRePb2 (PBE, the Alexandria database).

For the total energy, the calculation gives -24.983 eV per cell. The calculation puts the offset from the most stable computed form at 0 meV/atom. As for the energy relative to the elements: 0.3366 eV per atom.

Structure (CIF):
```
data_YRePb2
_cell_length_a 3.6029
_cell_length_b 3.6029
_cell_length_c 7.5683
_cell_angle_alpha 90.00
_cell_angle_beta 90.00
_cell_angle_gamma 90.00
_space_group_name_H-M_alt 'P 4 m m'
_space_group_IT_number 99
loop_
_space_group_symop_operation_xyz
'x,y,z'
'-y,x,z'
'-x,-y,z'
'y,-x,z'
'-x,y,z'
'y,x,z'
'x,-y,z'
'-y,-x,z'
loop_
_atom_site_label
_atom_site_fract_x
_atom_site_fract_y
_atom_site_fract_z
Y1 0.0000 0.0000 0.0000
Re1 0.5000 0.5000 0.7775
Pb1 0.0000 0.0000 0.5885
Pb2 0.5000 0.5000 0.2960
```



What did the second record say?
# YRePb2

An optimized crystal structure of YRePb2 (PBE, the Alexandria database).

For the total energy, the calculation gives -49.954 eV per cell. The calculation puts the offset from the most stable computed form at 1 meV/atom. As for the energy relative to the elements: 0.3380 eV per atom.

Structure (CIF):
```
data_YRePb2
_cell_length_a 3.5359
_cell_length_b 5.4971
_cell_length_c 9.9548
_cell_angle_alpha 90.00
_cell_angle_beta 90.00
_cell_angle_gamma 90.00
_space_group_name_H-M_alt 'I m m m'
_space_group_IT_number 71
_space_group_name_Hall '-I 2 2'
loop_
_atom_site_label
_atom_site_fract_x
_atom_site_fract_y
_atom_site_fract_z
Y1 0.0000 0.0000 0.0000
Re1 0.0000 0.0000 0.5000
Pb1 0.0000 0.5000 0.2223
```



Number 2 is which compound? YRePb2



Please write out number 2 again, unchanged.
# YRePb2

An optimized crystal structure of YRePb2 (PBE, the Alexandria database).

For the total energy, the calculation gives -49.954 eV per cell. The calculation puts the offset from the most stable computed form at 1 meV/atom. As for the energy relative to the elements: 0.3380 eV per atom.

Structure (CIF):
```
data_YRePb2
_cell_length_a 3.5359
_cell_length_b 5.4971
_cell_length_c 9.9548
_cell_angle_alpha 90.00
_cell_angle_beta 90.00
_cell_angle_gamma 90.00
_space_group_name_H-M_alt 'I m m m'
_space_group_IT_number 71
_space_group_name_Hall '-I 2 2'
loop_
_atom_site_label
_atom_site_fract_x
_atom_site_fract_y
_atom_site_fract_z
Y1 0.0000 0.0000 0.0000
Re1 0.0000 0.0000 0.5000
Pb1 0.0000 0.5000 0.2223
```